VASP calculation (GGA-PBE) on a relaxed structure of LaSe2F.

relative energy among the computed polymorphs: 7 meV per atom

Cell and atoms, written as extended XYZ:
```
8
Lattice="-2.162 2.960 7.256 2.162 -2.960 7.256 2.162 2.960 -7.256" Properties=species:S:1:pos:R:3 pbc="T T T"
La 0.000 1.480 1.815
La 2.162 1.480 5.441
Se 2.162 0.000 0.000
Se 2.162 -1.480 4.240
Se 0.000 0.000 7.256
Se 0.000 4.441 3.017
F 2.162 1.480 2.928
F 0.000 1.480 4.328
```

---

VASP calculation (GGA-PBE) on a relaxed structure of Cs2CdBr7.

Cell and atoms, written as extended XYZ:
```
10
Lattice="-3.981 3.981 6.159 3.981 -3.981 6.159 3.981 3.981 -6.159" Properties=species:S:1:pos:R:3 pbc="T T T"
Cs 3.981 0.000 3.079
Cs 0.000 3.981 3.079
Cd 0.000 0.000 0.000
Br 0.000 0.000 2.627
Br 2.021 2.021 0.000
Br 1.961 -1.961 6.159
Br 0.000 0.000 6.159
Br -1.961 1.961 6.159
Br 1.961 1.961 6.159
Br 0.000 0.000 9.691
```

---

VASP calculation (GGA-PBE) on a relaxed structure of KCrSe2.

Cell and atoms, written as extended XYZ:
```
4
Lattice="4.173 0.000 0.000 -2.086 3.614 0.000 0.000 0.000 7.614" Properties=species:S:1:pos:R:3 pbc="T T T"
K 0.000 0.000 0.000
Cr 0.000 2.409 3.282
Se 0.000 2.409 5.535
Se 2.086 1.205 2.494
```

---

VASP calculation (GGA-PBE) on a relaxed structure of InAsSe2F.

relative energy among the computed polymorphs: 449 meV per atom

Cell and atoms, written as extended XYZ:
```
5
Lattice="5.254 0.000 0.000 0.000 5.254 0.000 0.000 0.000 5.419" Properties=species:S:1:pos:R:3 pbc="T T T"
In 0.000 0.000 0.000
As 0.000 0.000 2.709
Se 0.000 2.627 0.000
Se 2.627 0.000 0.000
F 2.627 2.627 2.709
```

---

| no. | N(E_F) (states/eV per cell) | raw formation energy (meV per atom) |
| --- | --- | --- |
| 1 | 1.80 | -2198 |
| 2 | 2.97 | -878 |
| 3 | 1.96 | -525 |
| 4 | 6.76 | 539 |